(1)
## ZrInSe2 (PBE)

Data for an optimized crystal structure of ZrInSe2.

CIF file:
```
data_ZrInSe2
_chemical_formula_sum 'Zr4 In4 Se8'
_cell_length_a 8.211
_cell_length_b 6.726
_cell_length_c 6.564
_cell_angle_alpha 90.00
_cell_angle_beta 90.00
_cell_angle_gamma 90.00
_space_group_name_H-M_alt 'C m c 21'
_space_group_IT_number 36
loop_
_space_group_symop_operation_xyz
'x,y,z'
'-x,-y,z+1/2'
'-x,y,z'
'x,-y,z+1/2'
'x+1/2,y+1/2,z'
'-x+1/2,-y+1/2,z+1/2'
'-x+1/2,y+1/2,z'
'x+1/2,-y+1/2,z+1/2'
loop_
_atom_site_label
_atom_site_type_symbol
_atom_site_fract_x
_atom_site_fract_y
_atom_site_fract_z
Zr1 Zr 0.000 0.139 0.000
In1 In 0.000 0.414 0.584
Se1 Se 0.201 0.154 0.334
```

For the energy relative to the elements, uncorrected, the calculation gives -759 meV/atom. The density of states at the Fermi level is 0.648 states/eV/atom.

=====

(2)
## PrHoHg4 (PBE)

Data for an optimized crystal structure of PrHoHg4.

CIF file:
```
data_PrHoHg4
_chemical_formula_sum 'Pr4 Ho4 Hg16'
_cell_length_a 8.485
_cell_length_b 8.485
_cell_length_c 8.485
_cell_angle_alpha 90.00
_cell_angle_beta 90.00
_cell_angle_gamma 90.00
_space_group_name_H-M_alt 'F -4 3 m'
_space_group_IT_number 216
_space_group_name_Hall 'F -4 2 3'
loop_
_atom_site_label
_atom_site_type_symbol
_atom_site_fract_x
_atom_site_fract_y
_atom_site_fract_z
Pr1 Pr 0.000 0.000 0.000
Ho1 Ho 0.250 0.250 0.250
Hg1 Hg 0.125 0.125 0.625
```

The excess energy over the best structure of this formula in the dataset comes out at 119 meV/atom. Its energy relative to the elements is -0.23 eV/atom. The density of states at the Fermi level is 0.645 states/eV/atom.

=====

(3)
## BeNi2Se (PBE)

Data for an optimized crystal structure of BeNi2Se.

CIF file:
```
data_BeNi2Se
_chemical_formula_sum 'Be3 Ni6 Se3'
_cell_length_a 2.8016
_cell_length_b 2.8016
_cell_length_c 21.4119
_cell_angle_alpha 90.00
_cell_angle_beta 90.00
_cell_angle_gamma 120.00
_space_group_name_H-M_alt 'R -3 m'
_space_group_IT_number 166
_space_group_name_Hall '-R 3 2"'
loop_
_atom_site_label
_atom_site_type_symbol
_atom_site_fract_x
_atom_site_fract_y
_atom_site_fract_z
Be1 Be 0.0000 0.0000 0.0000
Ni1 Ni 0.0000 0.0000 0.2581
Se1 Se 0.0000 0.0000 0.5000
```

The excess energy over the best structure of this formula in the dataset comes out at 165 meV/atom. For the energy relative to the elements, uncorrected, the calculation gives 117 meV/atom. The density of states at the Fermi level is 0.560 states/eV/atom.

=====

(4)
## SmSnIr (PBE)

Data for an optimized crystal structure of SmSnIr.

CIF file:
```
data_SmSnIr
_chemical_formula_sum 'Sm6 Sn6 Ir6'
_cell_length_a 7.421
_cell_length_b 4.361
_cell_length_c 12.444
_cell_angle_alpha 90.00
_cell_angle_beta 91.47
_cell_angle_gamma 90.00
_space_group_name_H-M_alt 'P 1 21/m 1'
_space_group_IT_number 11
loop_
_space_group_symop_operation_xyz
'x,y,z'
'-x,-y,-z'
'-x,y+1/2,-z'
'x,-y+1/2,z'
loop_
_atom_site_label
_atom_site_type_symbol
_atom_site_fract_x
_atom_site_fract_y
_atom_site_fract_z
Sm1 Sm 0.030 0.250 0.123
Sm2 Sm 0.147 0.250 0.419
Sm3 Sm 0.466 0.750 0.792
Sn1 Sn 0.133 0.250 0.708
Sn2 Sn 0.345 0.750 0.045
Sn3 Sn 0.489 0.750 0.410
Ir1 Ir 0.231 0.750 0.254
Ir2 Ir 0.267 0.750 0.590
Ir3 Ir 0.269 0.250 0.923
```

Its energy relative to the elements is -0.76 eV/atom. The density of states at the Fermi level is 0.617 states/eV/atom.

=====

(5)
## MgGeAu4 (PBE)

Data for an optimized crystal structure of MgGeAu4.

CIF file:
```
data_MgGeAu4
_chemical_formula_sum 'Mg4 Ge4 Au16'
_cell_length_a 7.212
_cell_length_b 7.077
_cell_length_c 9.314
_cell_angle_alpha 90.00
_cell_angle_beta 111.89
_cell_angle_gamma 90.00
_space_group_name_H-M_alt 'C 1 2/c 1'
_space_group_IT_number 15
loop_
_space_group_symop_operation_xyz
'x,y,z'
'-x,-y,-z'
'-x,y,-z+1/2'
'x,-y,z+1/2'
'x+1/2,y+1/2,z'
'-x+1/2,-y+1/2,-z'
'-x+1/2,y+1/2,-z+1/2'
'x+1/2,-y+1/2,z+1/2'
loop_
_atom_site_label
_atom_site_type_symbol
_atom_site_fract_x
_atom_site_fract_y
_atom_site_fract_z
Mg1 Mg 0.000 0.131 0.250
Ge1 Ge 0.000 0.384 0.750
Au1 Au 0.159 0.132 0.583
Au2 Au 0.175 0.380 0.088
```

The excess energy over the best structure of this formula in the dataset comes out at 0 meV/atom. Its energy relative to the elements is -0.22 eV/atom. The density of states at the Fermi level is 0.309 states/eV/atom.

=====

(6)
## NaF (PBE)

Data for an optimized crystal structure of NaF.

CIF file:
```
data_NaF
_chemical_formula_sum 'Na4 F4'
_cell_length_a 5.146
_cell_length_b 5.146
_cell_length_c 5.146
_cell_angle_alpha 90.00
_cell_angle_beta 90.00
_cell_angle_gamma 90.00
_space_group_name_H-M_alt 'F -4 3 m'
_space_group_IT_number 216
_space_group_name_Hall 'F -4 2 3'
loop_
_atom_site_label
_atom_site_type_symbol
_atom_site_fract_x
_atom_site_fract_y
_atom_site_fract_z
Na1 Na 0.000 0.000 0.000
F1 F 0.250 0.250 0.250
```

The excess energy over the best structure of this formula in the dataset comes out at 90 meV/atom. For the energy relative to the elements, uncorrected, the calculation gives -2639 meV/atom. The density of states at the Fermi level is 0.000 states/eV/atom.

=====

(7)
## Sr2MnCl (PBE)

Data for an optimized crystal structure of Sr2MnCl.

CIF file:
```
data_Sr2MnCl
_chemical_formula_sum 'Sr8 Mn4 Cl4'
_cell_length_a 8.078
_cell_length_b 8.078
_cell_length_c 8.078
_cell_angle_alpha 90.00
_cell_angle_beta 90.00
_cell_angle_gamma 90.00
_space_group_name_H-M_alt 'F m -3 m'
_space_group_IT_number 225
_space_group_name_Hall '-F 4 2 3'
loop_
_atom_site_label
_atom_site_type_symbol
_atom_site_fract_x
_atom_site_fract_y
_atom_site_fract_z
Sr1 Sr 0.250 0.250 0.250
Mn1 Mn 0.000 0.000 0.000
Cl1 Cl 0.000 0.000 0.500
```

The excess energy over the best structure of this formula in the dataset comes out at 322 meV/atom. For the energy relative to the elements, uncorrected, the calculation gives -173 meV/atom. The density of states at the Fermi level is 0.616 states/eV/atom.

=====

(8)
## LuScTiZn (PBE)

Data for an optimized crystal structure of LuScTiZn.

CIF file:
```
data_LuScTiZn
_chemical_formula_sum 'Lu4 Sc4 Ti4 Zn4'
_cell_length_a 6.957
_cell_length_b 6.957
_cell_length_c 6.957
_cell_angle_alpha 90.00
_cell_angle_beta 90.00
_cell_angle_gamma 90.00
_space_group_name_H-M_alt 'F -4 3 m'
_space_group_IT_number 216
_space_group_name_Hall 'F -4 2 3'
loop_
_atom_site_label
_atom_site_type_symbol
_atom_site_fract_x
_atom_site_fract_y
_atom_site_fract_z
Lu1 Lu 0.000 0.000 0.000
Sc1 Sc 0.000 0.000 0.500
Ti1 Ti 0.250 0.250 0.250
Zn1 Zn 0.250 0.250 0.750
```

Its energy relative to the elements is 0.03 eV/atom. The density of states at the Fermi level is 1.815 states/eV/atom.

=====

| no. | E (eV per cell) |
| --- | --- |
| 1 | -85.2 |
| 2 | -47.8 |
| 3 | -54.9 |
| 4 | -119.2 |
| 5 | -82.5 |
| 6 | -33.9 |
| 7 | -60.3 |
| 8 | -79.6 |